(1)
{"formula": "Sr2ScBr", "functional": "GGA-PBE", "state": "relaxed", "cell": [[3.746, 0.000, 0.000], [0.000, 3.746, 0.000], [0.000, 0.000, 10.351]], "species": ["Sr", "Sr", "Sc", "Br"], "fractional_positions": [[0.000, 0.000, 0.000], [0.500, 0.500, 0.324], [0.500, 0.500, 0.752], [0.000, 0.000, 0.530]], "raw_formation_energy_ev_per_atom": -0.3008, "rho_kg_m3": 3430, "e_tot_ev_per_atom": -3.14, "dos_ef_per_ev_fu": 4.57, "vol_a3_per_atom": 36.3, "e_above_lowest_polymorph_kj_per_mol_atoms": 21.8}

(2)
{"formula": "Cr2CdNi", "functional": "GGA-PBE", "state": "relaxed", "cell": [[9.108, 0.000, 0.000], [0.000, 2.839, 0.000], [-1.014, 0.000, 4.367]], "species": ["Cr", "Cr", "Cr", "Cr", "Cd", "Cd", "Ni", "Ni"], "fractional_positions": [[0.236, 0.000, 0.171], [0.264, 0.500, 0.829], [0.736, 0.500, 0.171], [0.764, 0.000, 0.829], [0.000, 0.000, 0.500], [0.500, 0.500, 0.500], [0.000, 0.500, 0.000], [0.500, 0.000, 0.000]], "rho_kg_m3": 8092, "ef_kj_per_mol_atoms": 37, "e_tot_ev_per_atom": -6.11, "dos_ef_per_ev_fu": 3.15, "vol_a3_per_atom": 14.1}

(3)
{"formula": "Al2ZnIr", "functional": "GGA-PBE", "state": "relaxed", "cell": [[4.173, 0.000, 0.000], [-2.086, 3.614, 0.000], [0.000, 0.000, 13.178]], "species": ["Al", "Al", "Al", "Al", "Al", "Al", "Zn", "Zn", "Zn", "Ir", "Ir", "Ir"], "fractional_positions": [[0.000, 0.000, 0.000], [0.000, 0.000, 0.222], [0.333, 0.667, 0.667], [0.333, 0.667, 0.889], [0.667, 0.333, 0.333], [0.667, 0.333, 0.556], [0.000, 0.000, 0.788], [0.333, 0.667, 0.455], [0.667, 0.333, 0.122], [0.000, 0.000, 0.591], [0.333, 0.667, 0.258], [0.667, 0.333, 0.925]], "rho_kg_m3": 7811, "ef_kj_per_mol_atoms": -38, "e_tot_ev_per_atom": -4.80, "dos_ef_per_ev_fu": 1.64, "vol_a3_per_atom": 16.6}

- What is the formula in the first record?
  Sr2ScBr